[1]
{
  "formula": "AgOs2Se",
  "functional": "SCAN",
  "state": "single point on PBEsol structure",
  "lattice": [[2.796, 0.000, 0.000], [0.000, 2.832, 0.000], [-1.398, 0.000, 8.291]],
  "species": ["Ag", "Se", "Os", "Os"],
  "fractional_positions": [[0.552, 0.500, 0.104], [0.198, 0.000, 0.395], [0.926, 0.000, 0.851], [0.328, 0.500, 0.656]],
  "volume_a3_per_atom": 16.4,
  "final_energy_ev_per_atom": -48.366,
  "m_tot_mub_per_atom": 0.000
}

***

[2]
{
  "formula": "SiAg2Os",
  "functional": "SCAN",
  "state": "single point on PBEsol structure",
  "lattice": [[2.864, 0.000, 0.000], [0.000, 4.209, 0.000], [-1.432, -2.104, 4.931]],
  "species": ["Ag", "Os", "Si", "Ag"],
  "fractional_positions": [[0.282, 0.282, 0.564], [0.500, 0.000, 0.000], [0.000, 0.500, 0.000], [0.718, 0.718, 0.436]],
  "volume_a3_per_atom": 14.9,
  "final_energy_ev_per_atom": -35.852,
  "m_tot_mub_per_atom": 0.153
}

***

[3]
{
  "formula": "SiAgOs2",
  "functional": "SCAN",
  "state": "single point on PBEsol structure",
  "lattice": [[2.780, 0.000, 0.000], [1.390, 2.407, 0.000], [1.390, 0.802, 8.486]],
  "species": ["Os", "Ag", "Os", "Si"],
  "fractional_positions": [[0.760, 0.760, 0.719], [0.000, 0.000, 0.000], [0.240, 0.240, 0.281], [0.500, 0.500, 0.500]],
  "volume_a3_per_atom": 14.2,
  "final_energy_ev_per_atom": -46.118,
  "m_tot_mub_per_atom": 0.000
}

***

[4]
{
  "formula": "SiAg2Os",
  "functional": "SCAN",
  "state": "single point on PBEsol structure",
  "lattice": [[-1.676, 3.813, -1.301], [-3.430, 0.069, -2.696], [-3.904, 1.282, 1.468]],
  "species": ["Si", "Ag", "Ag", "Os"],
  "fractional_positions": [[0.750, 0.750, 0.750], [0.000, 0.000, 0.000], [0.250, 0.250, 0.250], [0.500, 0.500, 0.500]],
  "volume_a3_per_atom": 14.7,
  "final_energy_ev_per_atom": -35.700,
  "m_tot_mub_per_atom": 0.000
}

***

[5]
{
  "formula": "SiAgOs2",
  "functional": "SCAN",
  "state": "single point on PBEsol structure",
  "lattice": [[-1.801, 2.025, -0.613], [-1.601, -1.830, -1.345], [-3.748, -1.404, 6.371]],
  "species": ["Si", "Ag", "Os", "Os"],
  "fractional_positions": [[0.000, 0.000, 0.476], [0.500, 0.500, 0.742], [0.000, 0.000, 0.025], [0.500, 0.500, 0.256]],
  "volume_a3_per_atom": 14.5,
  "final_energy_ev_per_atom": -45.995,
  "m_tot_mub_per_atom": 0.000
}

***

[6]
{
  "formula": "SiAg2Os",
  "functional": "SCAN",
  "state": "single point on PBEsol structure",
  "lattice": [[-0.366, 1.841, -2.286], [-2.895, -3.685, -0.590], [-2.109, 3.228, 2.938]],
  "species": ["Ag", "Ag", "Si", "Os"],
  "fractional_positions": [[0.744, 0.489, 0.219], [0.980, 0.960, 0.036], [0.249, 0.497, 0.659], [0.527, 0.055, 0.586]],
  "volume_a3_per_atom": 15.1,
  "final_energy_ev_per_atom": -35.809,
  "m_tot_mub_per_atom": 0.000
}

***

[7]
{
  "formula": "SiAg2Os",
  "functional": "SCAN",
  "state": "single point on PBEsol structure",
  "lattice": [[2.825, -0.003, 0.000], [-0.057, 4.327, 0.000], [-1.384, -2.162, 4.973]],
  "species": ["Si", "Ag", "Ag", "Os"],
  "fractional_positions": [[0.000, 0.500, 0.000], [0.500, 0.500, 0.500], [0.000, 0.000, 0.500], [0.500, 0.000, 0.000]],
  "volume_a3_per_atom": 15.2,
  "final_energy_ev_per_atom": -35.763,
  "m_tot_mub_per_atom": 0.156
}

***

[8]
{
  "formula": "SrAgOs2",
  "functional": "SCAN",
  "state": "single point on PBEsol structure",
  "lattice": [[2.795, -0.001, 0.000], [-0.339, 4.926, 0.000], [-1.228, -2.462, 5.059]],
  "species": ["Os", "Os", "Ag", "Sr"],
  "fractional_positions": [[0.500, 0.500, 0.500], [0.000, 0.000, 0.500], [0.000, 0.500, 0.000], [0.500, 0.000, 0.000]],
  "volume_a3_per_atom": 17.4,
  "formation_enthalpy_0k_ev_per_atom": 0.940,
  "m_tot_mub_per_atom": 0.000
}

***

[9]
{
  "formula": "Sr2AgOs",
  "functional": "SCAN",
  "state": "single point on PBEsol structure",
  "lattice": [[-1.262, -2.742, -4.033], [-1.430, -4.797, 0.563], [-4.807, -1.300, -0.757]],
  "species": ["Os", "Sr", "Sr", "Ag"],
  "fractional_positions": [[0.250, 0.250, 0.250], [0.750, 0.750, 0.750], [0.000, 0.000, 0.000], [0.500, 0.500, 0.500]],
  "volume_a3_per_atom": 22.6,
  "formation_enthalpy_0k_ev_per_atom": 0.711,
  "m_tot_mub_per_atom": 0.003
}

***

[10]
{
  "formula": "SrAgOs2",
  "functional": "SCAN",
  "state": "single point on PBEsol structure",
  "lattice": [[2.880, -0.003, 0.000], [-0.429, 4.884, 0.000], [0.000, 0.000, 5.106]],
  "species": ["Ag", "Os", "Sr", "Os"],
  "fractional_positions": [[0.500, 0.000, 0.500], [0.339, 0.244, 0.000], [0.000, 0.500, 0.500], [0.661, 0.756, 0.000]],
  "volume_a3_per_atom": 18.0,
  "formation_enthalpy_0k_ev_per_atom": 0.917,
  "m_tot_mub_per_atom": 0.002
}

***

[11]
{
  "formula": "SrAgOs2",
  "functional": "SCAN",
  "state": "single point on PBEsol structure",
  "lattice": [[-1.691, 2.152, -0.482], [-2.118, 0.515, 1.723], [4.742, 6.868, 6.015]],
  "species": ["Sr", "Os", "Ag", "Os"],
  "fractional_positions": [[0.500, 0.500, 0.500], [0.743, 0.743, 0.770], [0.000, 0.000, 0.000], [0.257, 0.257, 0.230]],
  "volume_a3_per_atom": 17.0,
  "formation_enthalpy_0k_ev_per_atom": 1.145,
  "m_tot_mub_per_atom": 0.000
}

***

[12]
{
  "formula": "SrTiAgOs2",
  "functional": "SCAN",
  "state": "single point on PBEsol structure",
  "lattice": [[4.543, 0.000, 0.000], [0.000, 4.543, 0.000], [0.000, 0.000, 5.310]],
  "species": ["Os", "Sr", "Os", "Ti", "Ag"],
  "fractional_positions": [[0.000, 0.500, 0.000], [0.000, 0.000, 0.500], [0.500, 0.000, 0.000], [0.000, 0.000, 0.000], [0.500, 0.500, 0.500]],
  "volume_a3_per_atom": 21.9,
  "formation_enthalpy_0k_ev_per_atom": 1.372,
  "m_tot_mub_per_atom": 0.216
}

***

[13]
{
  "formula": "TaAgOs2",
  "functional": "SCAN",
  "state": "single point on PBEsol structure",
  "lattice": [[-0.088, -2.027, -1.903], [2.732, 0.293, -0.438], [1.499, -5.430, 5.716]],
  "species": ["Os", "Ta", "Ag", "Os"],
  "fractional_positions": [[0.000, 0.000, 0.759], [0.500, 0.500, 0.000], [0.500, 0.500, 0.500], [0.000, 0.000, 0.241]],
  "volume_a3_per_atom": 15.5,
  "formation_enthalpy_0k_ev_per_atom": 0.399,
  "m_tot_mub_per_atom": 0.000
}

***

[14]
{
  "formula": "TaAg2Os",
  "functional": "SCAN",
  "state": "single point on PBEsol structure",
  "lattice": [[3.482, 0.000, 0.000], [0.000, 3.482, 0.000], [0.000, 0.000, 5.334]],
  "species": ["Ta", "Ag", "Os", "Ag"],
  "fractional_positions": [[0.500, 0.500, 0.500], [0.000, 0.000, 0.247], [0.500, 0.500, 0.000], [0.000, 0.000, 0.753]],
  "volume_a3_per_atom": 16.2,
  "formation_enthalpy_0k_ev_per_atom": 0.779,
  "m_tot_mub_per_atom": 0.000
}

***

[15]
{
  "formula": "TaAgOs2",
  "functional": "SCAN",
  "state": "single point on PBEsol structure",
  "lattice": [[2.805, 0.000, 0.000], [1.402, 2.429, 0.000], [1.402, 0.810, 9.114]],
  "species": ["Os", "Os", "Ta", "Ag"],
  "fractional_positions": [[0.753, 0.753, 0.740], [0.247, 0.247, 0.260], [0.500, 0.500, 0.500], [0.000, 0.000, 0.000]],
  "volume_a3_per_atom": 15.5,
  "formation_enthalpy_0k_ev_per_atom": 0.297,
  "m_tot_mub_per_atom": 0.000
}

***

[16]
{
  "formula": "TaAg2Os",
  "functional": "SCAN",
  "state": "single point on PBEsol structure",
  "lattice": [[2.812, -0.004, 0.004], [1.402, 2.437, 0.004], [1.418, 0.819, 9.392]],
  "species": ["Ag", "Ag", "Ta", "Os"],
  "fractional_positions": [[0.751, 0.751, 0.746], [0.000, 0.000, 0.998], [0.247, 0.247, 0.261], [0.502, 0.502, 0.494]],
  "volume_a3_per_atom": 16.1,
  "formation_enthalpy_0k_ev_per_atom": 0.262,
  "m_tot_mub_per_atom": 0.000
}

***

[17]
{
  "formula": "TaAgOs2",
  "functional": "SCAN",
  "state": "single point on PBEsol structure",
  "lattice": [[3.992, 0.000, 0.000], [0.000, 3.992, 0.000], [-1.996, -1.996, 3.829]],
  "species": ["Ag", "Ta", "Os", "Os"],
  "fractional_positions": [[0.000, 0.000, 0.000], [0.500, 0.500, 0.000], [0.250, 0.750, 0.500], [0.750, 0.250, 0.500]],
  "volume_a3_per_atom": 15.3,
  "formation_enthalpy_0k_ev_per_atom": 0.286,
  "m_tot_mub_per_atom": 0.000
}

***

[18]
{
  "formula": "TcAg4Os",
  "functional": "SCAN",
  "state": "single point on PBEsol structure",
  "lattice": [[-2.914, 4.225, -0.106], [-5.103, -0.390, 0.400], [-2.369, 1.592, 4.267]],
  "species": ["Os", "Ag", "Ag", "Ag", "Ag", "Tc"],
  "fractional_positions": [[0.750, 0.750, 0.750], [0.375, 0.875, 0.375], [0.375, 0.375, 0.375], [0.875, 0.375, 0.375], [0.375, 0.375, 0.875], [0.000, 0.000, 0.000]],
  "volume_a3_per_atom": 15.9,
  "formation_enthalpy_0k_ev_per_atom": 1.041,
  "m_tot_mub_per_atom": 0.284
}

***

[19]
{
  "formula": "TcAgOs2",
  "functional": "SCAN",
  "state": "single point on PBEsol structure",
  "lattice": [[-2.350, -0.121, 1.358], [-1.250, -3.826, -2.503], [3.313, -1.936, 2.845]],
  "species": ["Tc", "Os", "Ag", "Os"],
  "fractional_positions": [[0.500, 0.000, 0.000], [0.762, 0.769, 0.523], [0.000, 0.500, 0.000], [0.238, 0.231, 0.477]],
  "volume_a3_per_atom": 14.5,
  "formation_enthalpy_0k_ev_per_atom": 0.465,
  "m_tot_mub_per_atom": 0.000
}

***

[20]
{
  "formula": "TcAgOs2",
  "functional": "SCAN",
  "state": "single point on PBEsol structure",
  "lattice": [[2.704, 0.000, 0.000], [0.000, 2.704, 0.000], [0.000, 0.000, 8.002]],
  "species": ["Tc", "Os", "Ag", "Os"],
  "fractional_positions": [[0.000, 0.000, 0.486], [0.500, 0.500, 0.246], [0.500, 0.500, 0.751], [0.000, 0.000, 0.017]],
  "volume_a3_per_atom": 14.6,
  "formation_enthalpy_0k_ev_per_atom": 0.424,
  "m_tot_mub_per_atom": 0.000
}